The following is a PBE calculation of a geometry-optimized LiHgW2 structure, from Alexandria.

Cell and atoms, written as POSCAR:
```
LiHgW2
1.0
-0.6689 4.5177 1.4357
-1.7107 2.9405 3.3682
4.7346 0.1773 2.6972
Hg Li W
1 1 2
direct
0.4956 0.4956 0.4723
0.2457 0.2457 0.2578
0.0029 0.0029 0.9879
0.7558 0.7558 0.7819
```

Results
* magnetization: 0.00 Bohr magnetons per cell
* formation energy from the elements: 0.561 eV per atom